1.
A relaxed structure of Ti2CrRh5. Source: the Alexandria database, functional PBE-GGA.

a b c (Å): 5.401 10.693 3.963
angles (deg): 90.00 90.00 90.00
Space group Pbam (No. 55)
Inequivalent atoms, fractional coordinates:
Ti1 0.193 0.139 0.000 [4 per cell]
Cr1 0.000 0.500 0.500 [2 per cell]
Rh1 0.000 0.000 0.500 [2 per cell]
Rh2 0.056 0.742 0.500 [4 per cell]
Rh3 0.206 0.388 0.000 [4 per cell]

Properties
The formation energy from the elements comes out at -563 meV/atom. The crystal system is orthorhombic.

---

2.
A relaxed structure of Ti3CrRh6. Source: the Alexandria database, functional PBE-GGA.

a b c (Å): 7.419 4.409 9.577
angles (deg): 90.00 111.87 90.00
Space group P2_1/m (No. 11)
Inequivalent atoms, fractional coordinates:
Ti1 0.071 0.250 0.213 [2 per cell]
Ti2 0.308 0.250 0.020 [2 per cell]
Ti3 0.343 0.750 0.373 [2 per cell]
Cr1 0.114 0.750 0.570 [2 per cell]
Rh1 0.075 0.250 0.715 [2 per cell]
Rh2 0.119 0.750 0.081 [2 per cell]
Rh3 0.270 0.250 0.511 [2 per cell]
Rh4 0.294 0.750 0.863 [2 per cell]
Rh5 0.486 0.250 0.828 [2 per cell]
Rh6 0.497 0.750 0.668 [2 per cell]

Properties
The formation energy from the elements comes out at -562 meV/atom. The crystal system is monoclinic.

---

3.
A relaxed structure of Ti2CrRh2. Source: the Alexandria database, functional PBE-GGA.

a b c (Å): 7.248 7.248 2.869
angles (deg): 90.00 90.00 90.00
Space group P4/mbm (No. 127)
Inequivalent atoms, fractional coordinates:
Ti1 0.156 0.344 0.000 [4 per cell]
Cr1 0.000 0.000 0.000 [2 per cell]
Rh1 0.147 0.647 0.500 [4 per cell]

Properties
The polymorph energy (0 for the lowest one) is 0 meV per atom. The formation energy from the elements comes out at -214 meV/atom. The crystal system is tetragonal.

---

4.
A relaxed structure of TiVCrRh. Source: the Alexandria database, functional PBE-GGA.

a b c (Å): 2.992 2.992 6.098
angles (deg): 90.00 90.00 90.00
Space group P4mm (No. 99)
Inequivalent atoms, fractional coordinates:
Ti1 0.000 0.000 0.000 [1 per cell]
V1 0.000 0.000 0.466 [1 per cell]
Cr1 0.500 0.500 0.249 [1 per cell]
Rh1 0.500 0.500 0.735 [1 per cell]

Properties
The formation energy from the elements comes out at -381 meV/atom. The crystal system is tetragonal.

---

5.
A relaxed structure of ZrTiCrRh. Source: the Alexandria database, functional PBE-GGA.

a b c (Å): 6.340 6.340 6.340
angles (deg): 90.00 90.00 90.00
Space group F-43m (No. 216)
Inequivalent atoms, fractional coordinates:
Zr1 0.000 0.000 0.000 [4 per cell]
Ti1 0.000 0.000 0.500 [4 per cell]
Cr1 0.250 0.250 0.250 [4 per cell]
Rh1 0.250 0.250 0.750 [4 per cell]

Properties
The formation energy from the elements comes out at -318 meV/atom. The crystal system is cubic.

---

6.
A relaxed structure of ZrTiCr2Rh. Source: the Alexandria database, functional PBE-GGA.

a b c (Å): 4.399 4.399 4.585
angles (deg): 90.00 90.00 90.00
Space group P4/mmm (No. 123)
Inequivalent atoms, fractional coordinates:
Zr1 0.000 0.000 0.000 [1 per cell]
Ti1 0.500 0.500 0.500 [1 per cell]
Cr1 0.000 0.500 0.500 [2 per cell]
Rh1 0.500 0.500 0.000 [1 per cell]

Properties
The formation energy from the elements comes out at 650 meV/atom. The crystal system is tetragonal.

---

7.
A relaxed structure of TlCr2Rh. Source: the Alexandria database, functional PBE-GGA.

a b c (Å): 7.349 7.349 5.577
angles (deg): 90.00 90.00 90.00
Space group I-42d (No. 122)
Inequivalent atoms, fractional coordinates:
Tl1 0.000 0.000 0.000 [4 per cell]
Cr1 0.210 0.250 0.625 [8 per cell]
Rh1 0.000 0.000 0.500 [4 per cell]

Properties
The polymorph energy (0 for the lowest one) is 481 meV per atom. The formation energy from the elements comes out at 762 meV/atom. The crystal system is tetragonal.

---

8.
A relaxed structure of TlCr2Rh4. Source: the Alexandria database, functional PBE-GGA.

a b c (Å): 4.901 4.901 12.209
angles (deg): 90.00 90.00 90.00
Space group I4/mmm (No. 139)
Inequivalent atoms, fractional coordinates:
Tl1 0.000 0.000 0.000 [2 per cell]
Cr1 0.000 0.000 0.398 [4 per cell]
Rh1 0.000 0.000 0.224 [4 per cell]
Rh2 0.000 0.500 0.000 [4 per cell]

Properties
The formation energy from the elements comes out at 1253 meV/atom. The crystal system is tetragonal.

---

9.
A relaxed structure of TlCr2Rh. Source: the Alexandria database, functional PBE-GGA.

a b c (Å): 2.9567 2.9567 24.8406
angles (deg): 90.00 90.00 120.00
Space group R3m (No. 160, hexagonal axes)
Inequivalent atoms, fractional coordinates:
Tl1 0.0000 0.0000 0.0000 [3 per cell]
Cr1 0.0000 0.0000 0.4928 [3 per cell]
Cr2 0.0000 0.0000 0.7655 [3 per cell]
Rh1 0.0000 0.0000 0.2391 [3 per cell]

Properties
The polymorph energy (0 for the lowest one) is 171 meV per atom. The formation energy from the elements comes out at 452 meV/atom. The crystal system is trigonal.

---

10.
A relaxed structure of TlCrRh4. Source: the Alexandria database, functional PBE-GGA.

a b c (Å): 7.339 7.339 7.339
angles (deg): 90.00 90.00 90.00
Space group F-43m (No. 216)
Inequivalent atoms, fractional coordinates:
Tl1 0.000 0.000 0.000 [4 per cell]
Cr1 0.250 0.250 0.250 [4 per cell]
Rh1 0.125 0.125 0.625 [16 per cell]

Properties
The formation energy from the elements comes out at 295 meV/atom. The crystal system is cubic.

---

11.
A relaxed structure of TlCrRh2. Source: the Alexandria database, functional PBE-GGA.

a b c (Å): 4.170 4.170 7.305
angles (deg): 90.00 90.00 90.00
Space group I4/mmm (No. 139)
Inequivalent atoms, fractional coordinates:
Tl1 0.000 0.000 0.000 [2 per cell]
Cr1 0.000 0.000 0.500 [2 per cell]
Rh1 0.000 0.500 0.250 [4 per cell]

Properties
The formation energy from the elements comes out at 87 meV/atom. The crystal system is tetragonal.

---

12.
A relaxed structure of TlCrRh2. Source: the Alexandria database, functional PBE-GGA.

a b c (Å): 2.9697 2.9697 25.8795
angles (deg): 90.00 90.00 120.00
Space group R-3m (No. 166, hexagonal axes)
Inequivalent atoms, fractional coordinates:
Tl1 0.0000 0.0000 0.0000 [3 per cell]
Cr1 0.0000 0.0000 0.5000 [3 per cell]
Rh1 0.0000 0.0000 0.2408 [6 per cell]

Properties
The formation energy from the elements comes out at 259 meV/atom. The crystal system is trigonal.

---

- Look up the formation energy from the elements of the fifth one.
  -318 meV/atom

---

- Look up the formation energy from the elements of the first one.
  -563 meV/atom